Below is a relaxed LaMn2CdSe crystal, with properties calculated at the PBE level.

The structure in POSCAR format:
```
LaMn2CdSe
1.0
-1.983 -3.588 -2.788
4.544 -1.600 -1.173
-0.057 -3.373 4.380
Cd Se Mn La
1 1 2 1
Cartesian
0.000 0.000 0.000 Cd
-0.029 -1.686 2.190 Se
-0.991 -1.794 -1.394 Mn
2.272 -0.800 -0.586 Mn
1.252 -4.280 0.209 La
```

Values from the calculation:
Raw formation energy (eV per atom): 0.51
Total moment (μB per formula unit): 7.88
Symmetry: P4/mmm, No. 123